Entry 1:
# TiNi3Pd (PBE, relaxed)
# volume	15.39	A^3/atom
# ρ	7.128	g/cm³
# DFT formation energy	0.81	eV/atom
data_TiNi3Pd
_cell_length_a 4.254
_cell_length_b 4.254
_cell_length_c 4.254
_cell_angle_alpha 90.00
_cell_angle_beta 90.00
_cell_angle_gamma 90.00
_symmetry_space_group_name_H-M 'P m -3 m'
_symmetry_Int_Tables_number 221
_symmetry_space_group_name_Hall '-P 4 2 3'
loop_
_atom_site_label
_atom_site_type_symbol
_atom_site_fract_x
_atom_site_fract_y
_atom_site_fract_z
Ti1 Ti 0.000 0.000 0.000
Ni1 Ni 0.000 0.000 0.500
Pd1 Pd 0.500 0.500 0.500

***

Entry 2:
# TlInB2 (PBE, relaxed)
# volume	20.09	A^3/atom
# ρ	7.041	g/cm³
# DFT formation energy	1.36	eV/atom
data_TlInB2
_cell_length_a 5.393
_cell_length_b 5.393
_cell_length_c 11.053
_cell_angle_alpha 90.00
_cell_angle_beta 90.00
_cell_angle_gamma 90.00
_symmetry_space_group_name_H-M 'I -4 2 d'
_symmetry_Int_Tables_number 122
_symmetry_space_group_name_Hall 'I -4 2bw'
loop_
_atom_site_label
_atom_site_type_symbol
_atom_site_fract_x
_atom_site_fract_y
_atom_site_fract_z
Tl1 Tl 0.000 0.000 0.000
In1 In 0.000 0.000 0.500
B1 B 0.243 0.250 0.625

***

Entry 3:
# Tm2BePd (PBE, relaxed)
# volume	20.14	A^3/atom
# ρ	9.346	g/cm³
# DFT formation energy	-0.40	eV/atom
data_Tm2BePd
_cell_length_a 6.855
_cell_length_b 6.855
_cell_length_c 6.855
_cell_angle_alpha 90.00
_cell_angle_beta 90.00
_cell_angle_gamma 90.00
_symmetry_space_group_name_H-M 'F m -3 m'
_symmetry_Int_Tables_number 225
_symmetry_space_group_name_Hall '-F 4 2 3'
loop_
_atom_site_label
_atom_site_type_symbol
_atom_site_fract_x
_atom_site_fract_y
_atom_site_fract_z
Tm1 Tm 0.250 0.250 0.250
Be1 Be 0.000 0.000 0.000
Pd1 Pd 0.000 0.000 0.500

***

Entry 4:
# LaPm2Te4 (PBE, relaxed)
# volume	35.28	A^3/atom
# formation energy (no corrections)	-142.7	kJ/mol of atoms
# ρ	6.315	g/cm³
data_LaPm2Te4
_cell_length_a 4.413
_cell_length_b 14.667
_cell_length_c 15.262
_cell_angle_alpha 90.00
_cell_angle_beta 90.00
_cell_angle_gamma 90.00
_symmetry_space_group_name_H-M 'C m c m'
_symmetry_Int_Tables_number 63
_symmetry_space_group_name_Hall '-C 2c 2'
loop_
_atom_site_label
_atom_site_type_symbol
_atom_site_fract_x
_atom_site_fract_y
_atom_site_fract_z
La1 La 0.000 0.122 0.250
Pm1 Pm 0.000 0.368 0.066
Te1 Te 0.000 0.000 0.000
Te2 Te 0.000 0.276 0.624
Te3 Te 0.000 0.461 0.250